PrNpCoO6 after structural relaxation, computed with PBE+U.

Cell and atoms, written as POSCAR:
```
PrNpCoO6
1.0
5.807 0.000 0.000
-2.904 5.029 0.000
0.000 0.000 8.568
Pr Np Co O
2 2 2 12
direct
0.333 0.667 0.250 Pr
0.667 0.333 0.750 Pr
0.333 0.667 0.750 Np
0.667 0.333 0.250 Np
0.000 0.000 0.000 Co
0.000 0.000 0.500 Co
0.048 0.357 0.624 O
0.048 0.691 0.876 O
0.309 0.357 0.876 O
0.309 0.952 0.624 O
0.357 0.048 0.124 O
0.357 0.309 0.376 O
0.643 0.691 0.624 O
0.643 0.952 0.876 O
0.691 0.048 0.376 O
0.691 0.643 0.124 O
0.952 0.309 0.124 O
0.952 0.643 0.376 O
```

Output
Symmetry: No. 163
Calculated total energy in eV/atom: -8.024